Material: Na5B9C
Method: DFT, PBE
State: relaxed

a = 9.2617 Å, b = 9.2617 Å, c = 13.9622 Å
α = 111.34°, β = 111.34°, γ = 17.42°
Closest atoms and distances in Å follow each position.
Element x y z (fractional)
Na 0.0000 0.0000 0.0000  12 B 2.71-2.99, 2 Na 2.80
Na 0.0000 0.0000 0.5000  12 B 2.72-2.96, 2 Na 2.80
Na 0.2003 0.2003 0.4006  11 B 2.69-2.96, 2 Na 2.80, 1 C 2.87
Na 0.1998 0.1998 0.9005  10 B 2.69-2.98, 2 C 2.75, 2 Na 2.80
Na 0.3993 0.3993 0.2989  11 B 2.69-2.94, 2 Na 2.80, 1 C 2.85
Na 0.4000 0.4000 0.7990  10 B 2.70-2.95, 2 C 2.74, 2 Na 2.80
Na 0.6000 0.6000 0.2010  10 B 2.70-2.95, 2 C 2.74, 2 Na 2.80
Na 0.6007 0.6007 0.7011  11 B 2.69-2.94, 2 Na 2.80, 1 C 2.85
Na 0.8002 0.8002 0.0995  10 B 2.69-2.98, 2 C 2.75, 2 Na 2.80
Na 0.7997 0.7997 0.5994  11 B 2.69-2.96, 2 Na 2.80, 1 C 2.87
B 0.0305 0.0305 0.3106  3 B 1.69-1.79
B 0.0318 0.0318 0.8133  3 B 1.69-1.79
B 0.1735 0.1735 0.5973  3 B 1.74-1.78
B 0.1749 0.1749 0.0998  1 C 1.55
B 0.2376 0.2376 0.7254  2 C 1.63, 1 B 1.74
B 0.3655 0.3655 0.9816  3 B 1.67-1.79
B 0.3665 0.3665 0.4834  3 B 1.69-1.78
B 0.4269 0.4269 0.1046  3 B 1.67-1.79
B 0.4285 0.4285 0.6079  3 B 1.69-1.79
B 0.5715 0.5715 0.3921  3 B 1.69-1.79
B 0.5731 0.5731 0.8954  3 B 1.67-1.79
B 0.6335 0.6335 0.5166  3 B 1.69-1.78
B 0.6345 0.6345 0.0184  3 B 1.67-1.79
B 0.7624 0.7624 0.2746  2 C 1.63, 1 B 1.74
B 0.8251 0.8251 0.9002  1 C 1.55
B 0.8265 0.8265 0.4027  3 B 1.74-1.78
B 0.9682 0.9682 0.1867  3 B 1.69-1.79
B 0.9695 0.9695 0.6894  3 B 1.69-1.79
C 0.2320 0.2320 0.2141  3 B 1.55-1.63
C 0.7680 0.7680 0.7859  3 B 1.55-1.63

Values from the calculation:
space group = C2/m
ρ = 2.235 g/cm³
DFT total energy = -4.820 eV per atom
Fermi-level density of states = 0.34 states/eV/atom
total moment = 0.0 μB per cell
V = 333.3 Å³ per cell

***

Material: NaBC
Method: DFT, PBE
State: relaxed

a = 5.0016 Å, b = 5.0016 Å, c = 5.4424 Å
α = 106.99°, β = 106.99°, γ = 33.10°
Closest atoms and distances in Å follow each position.
Element x y z (fractional)
Na 0.0911 0.0911 0.3496  5 C 2.68-2.74, 3 Na 2.73-2.85, 2 B 2.76-2.83
Na 0.9089 0.9089 0.6504  5 C 2.68-2.74, 3 Na 2.73-2.85, 2 B 2.76-2.83
B 0.2067 0.2067 0.8945  2 C 1.53
B 0.7933 0.7933 0.1055  2 C 1.53
C 0.3346 0.3346 0.2053  2 B 1.53
C 0.6654 0.6654 0.7947  2 B 1.53

Values from the calculation:
space group = C2/m
ρ = 2.148 g/cm³
DFT total energy = -5.499 eV per atom
Fermi-level density of states = 0.00 states/eV/atom
total moment = 0.0 μB per cell
V = 70.8 Å³ per cell

***

Material: Na8B15C
Method: DFT, PBE
State: relaxed

a = 6.0519 Å, b = 8.6578 Å, c = 5.1696 Å
α = 90.00°, β = 90.00°, γ = 90.00°
Closest atoms and distances in Å follow each position.
Element x y z (fractional)
Na 0.0000 0.2494 0.0000  11 B 2.74-2.86, 1 C 2.77, 6 Na 2.99-3.03
Na 0.0000 0.7506 0.0000  11 B 2.74-2.86, 1 C 2.77, 6 Na 2.99-3.03
Na 0.2504 0.2490 0.4988  11 B 2.74-2.79, 1 C 2.79, 6 Na 2.99-3.03
Na 0.2504 0.7510 0.4988  11 B 2.74-2.79, 1 C 2.79, 6 Na 2.99-3.03
Na 0.5000 0.2505 0.9984  12 B 2.74-2.84, 6 Na 2.99-3.03
Na 0.5000 0.7495 0.9984  12 B 2.74-2.84, 6 Na 2.99-3.03
Na 0.7496 0.2490 0.4988  11 B 2.74-2.79, 1 C 2.79, 6 Na 2.99-3.03
Na 0.7496 0.7510 0.4988  11 B 2.74-2.79, 1 C 2.79, 6 Na 2.99-3.03
B 0.0000 0.0000 0.3250  3 B 1.70-1.80
B 0.0000 0.0000 0.6725  3 B 1.71-1.80
B 0.0000 0.5000 0.6402  1 C 1.59
B 0.2360 0.5000 0.1767  1 C 1.64, 2 B 1.75-1.77
B 0.2481 0.5000 0.8381  3 B 1.75-1.82
B 0.2496 0.0000 0.1732  3 B 1.70-1.80
B 0.2501 0.0000 0.8249  3 B 1.70-1.80
B 0.5000 0.0000 0.3254  3 B 1.71-1.80
B 0.5000 0.0000 0.6729  3 B 1.70-1.80
B 0.5000 0.5000 0.3261  3 B 1.74-1.77
B 0.5000 0.5000 0.6626  3 B 1.74-1.77
B 0.7504 0.0000 0.1732  3 B 1.70-1.80
B 0.7499 0.0000 0.8249  3 B 1.70-1.80
B 0.7519 0.5000 0.8381  3 B 1.75-1.82
B 0.7640 0.5000 0.1767  1 C 1.64, 2 B 1.75-1.77
C 0.0000 0.5000 0.3326  3 B 1.59-1.64

Values from the calculation:
space group = Pmm2
ρ = 2.195 g/cm³
DFT total energy = -4.719 eV per atom
Fermi-level density of states = 0.27 states/eV/atom
total moment = 0.0 μB per cell
V = 270.9 Å³ per cell

***

Material: Na8B15C
Method: DFT, PBE
State: relaxed

a = 2.8134 Å, b = 10.3092 Å, c = 10.3092 Å
α = 115.69°, β = 90.00°, γ = 90.00°
Closest atoms and distances in Å follow each position.
Element x y z (fractional)
Na 0.0000 0.1253 0.8747  11 B 2.70-2.89, 2 Na 2.81, 1 C 2.87
Na 0.0000 0.3756 0.6270  12 B 2.72-3.01, 2 Na 2.81
Na 0.0000 0.6270 0.3756  12 B 2.72-3.01, 2 Na 2.81
Na 0.0000 0.8747 0.1253  11 B 2.70-2.89, 2 Na 2.81, 1 C 2.87
Na 0.5000 0.1248 0.3758  12 B 2.72-2.98, 2 Na 2.81
Na 0.5000 0.3758 0.1248  12 B 2.72-2.98, 2 Na 2.81
Na 0.5000 0.6260 0.8778  10 B 2.70-2.89, 2 C 2.75, 2 Na 2.81
Na 0.5000 0.8778 0.6260  10 B 2.70-2.89, 2 C 2.75, 2 Na 2.81
B 0.0000 0.0782 0.5788  3 B 1.71-1.75
B 0.0000 0.1695 0.1695  3 B 1.73-1.81
B 0.0000 0.3271 0.3271  3 B 1.73-1.80
B 0.0000 0.4231 0.9230  3 B 1.71-1.75
B 0.0000 0.5788 0.0782  3 B 1.71-1.75
B 0.0000 0.6887 0.6887  1 C 1.56
B 0.0000 0.9230 0.4231  3 B 1.71-1.75
B 0.5000 0.0662 0.0662  3 B 1.75-1.81
B 0.5000 0.1724 0.6734  3 B 1.71-1.75
B 0.5000 0.3284 0.8287  3 B 1.71-1.75
B 0.5000 0.4295 0.4295  3 B 1.72-1.80
B 0.5000 0.5863 0.5863  3 B 1.72-1.80
B 0.5000 0.6734 0.1724  3 B 1.71-1.75
B 0.5000 0.8287 0.3284  3 B 1.71-1.75
B 0.5000 0.9064 0.9064  2 C 1.63, 1 B 1.75
C 0.0000 0.8309 0.8309  3 B 1.56-1.63

Values from the calculation:
space group = Amm2
ρ = 2.207 g/cm³
DFT total energy = -4.728 eV per atom
Fermi-level density of states = 0.24 states/eV/atom
total moment = 0.0 μB per cell
V = 269.5 Å³ per cell

***

Material: Na5B9C
Method: DFT, PBE
State: relaxed

a = 8.6450 Å, b = 13.2356 Å, c = 13.2356 Å
α = 12.76°, β = 90.00°, γ = 90.00°
Closest atoms and distances in Å follow each position.
Element x y z (fractional)
Na 0.2474 0.0000 0.0000  10 B 2.72-2.81, 2 C 2.78, 6 Na 2.94-3.03
Na 0.2487 0.1989 0.1989  10 B 2.71-2.80, 2 C 2.76, 6 Na 2.94-3.01
Na 0.2503 0.3993 0.3993  12 B 2.74-2.92, 6 Na 2.94-3.03
Na 0.2499 0.7990 0.7990  11 B 2.73-2.82, 1 C 2.80, 6 Na 2.94-3.02
Na 0.2515 0.5995 0.5995  11 B 2.74-2.83, 1 C 2.76, 6 Na 2.94-3.00
Na 0.7485 0.5995 0.5995  11 B 2.74-2.83, 1 C 2.76, 6 Na 2.94-3.00
Na 0.7497 0.3993 0.3993  12 B 2.74-2.92, 6 Na 2.94-3.03
Na 0.7501 0.7990 0.7990  11 B 2.73-2.82, 1 C 2.80, 6 Na 2.94-3.02
Na 0.7513 0.1989 0.1989  10 B 2.71-2.80, 2 C 2.76, 6 Na 2.94-3.01
Na 0.7526 0.0000 0.0000  10 B 2.72-2.81, 2 C 2.78, 6 Na 2.94-3.03
B 0.0000 0.0658 0.0658  3 B 1.70-1.77
B 0.0000 0.1330 0.1330  3 B 1.70-1.77
B 0.0000 0.2656 0.2656  3 B 1.70-1.77
B 0.0000 0.3329 0.3329  3 B 1.70-1.77
B 0.0000 0.4658 0.4658  3 B 1.71-1.77
B 0.0000 0.5330 0.5330  3 B 1.70-1.77
B 0.0000 0.6657 0.6657  3 B 1.70-1.77
B 0.0000 0.7330 0.7330  3 B 1.70-1.77
B 0.0000 0.8657 0.8657  3 B 1.70-1.77
B 0.0000 0.9330 0.9330  3 B 1.71-1.77
B 0.5000 0.0643 0.0643  2 C 1.68, 1 B 1.77
B 0.5000 0.1318 0.1318  3 B 1.77
B 0.5000 0.2607 0.2607  2 C 1.66, 1 B 1.78
B 0.5000 0.3285 0.3285  3 B 1.78-1.80
B 0.5000 0.4740 0.4740  1 C 1.57
B 0.5000 0.6695 0.6695  1 C 1.62, 2 B 1.77
B 0.5000 0.8678 0.8678  3 B 1.72-1.80
B 0.5000 0.9331 0.9331  3 B 1.72-1.82
C 0.5000 0.5336 0.5336  3 B 1.57-1.68
C 0.5000 0.7313 0.7313  3 B 1.62-1.66

Values from the calculation:
space group = Amm2
ρ = 2.227 g/cm³
DFT total energy = -4.805 eV per atom
Fermi-level density of states = 0.34 states/eV/atom
total moment = 0.0 μB per cell
V = 334.4 Å³ per cell

***

Material: Na4B5C3
Method: DFT, PBE
State: relaxed

a = 5.6885 Å, b = 5.7547 Å, c = 8.9949 Å
α = 99.39°, β = 99.13°, γ = 119.60°
Closest atoms and distances in Å follow each position.
Element x y z (fractional)
Na 0.0000 0.0000 0.0000  8 B 2.68-2.74, 4 C 2.69-2.71, 6 Na 2.84-2.88
Na 0.0000 0.5000 0.0000  4 C 2.69-2.70, 8 B 2.70-2.72, 6 Na 2.84-2.88
Na 0.2487 0.2490 0.4973  7 B 2.67-2.72, 5 C 2.67-2.73, 6 Na 2.84-2.88
Na 0.2500 0.7500 0.5002  4 C 2.69-2.70, 8 B 2.69-2.74, 6 Na 2.84-2.88
Na 0.5000 0.0000 0.0000  8 B 2.68-2.74, 4 C 2.69-2.71, 6 Na 2.84-2.88
Na 0.5000 0.5000 0.0000  6 B 2.65-2.67, 6 C 2.69-2.72, 6 Na 2.84-2.88
Na 0.7500 0.2500 0.4998  4 C 2.69-2.70, 8 B 2.69-2.74, 6 Na 2.84-2.88
Na 0.7513 0.7510 0.5027  7 B 2.67-2.72, 5 C 2.67-2.73, 6 Na 2.84-2.88
B 0.0411 0.7071 0.7496  3 C 1.65-1.66
B 0.0552 0.2187 0.7498  2 C 1.61-1.64, 1 B 1.73
B 0.2938 0.9627 0.2494  3 B 1.71-1.73
B 0.4612 0.7810 0.2497  2 C 1.61-1.64, 1 B 1.73
B 0.4644 0.3038 0.2500  2 C 1.62, 1 B 1.71
B 0.5356 0.6962 0.7500  2 C 1.62, 1 B 1.71
B 0.5388 0.2190 0.7503  2 C 1.61-1.64, 1 B 1.73
B 0.7062 0.0373 0.7506  3 B 1.71-1.73
B 0.9448 0.7813 0.2502  2 C 1.61-1.64, 1 B 1.73
B 0.9589 0.2929 0.2504  3 C 1.65-1.66
C 0.2071 0.0390 0.7498  3 B 1.64-1.66
C 0.2080 0.5401 0.7493  3 B 1.61-1.65
C 0.2930 0.4597 0.2500  3 B 1.61-1.65
C 0.7070 0.5403 0.7500  3 B 1.61-1.65
C 0.7920 0.4599 0.2507  3 B 1.61-1.65
C 0.7929 0.9610 0.2502  3 B 1.64-1.66

Values from the calculation:
space group = P-1
ρ = 2.492 g/cm³
DFT total energy = -5.424 eV per atom
Fermi-level density of states = 0.25 states/eV/atom
total moment = 0.0 μB per cell
V = 242.6 Å³ per cell